1.
Material: Ba2SrY
Method: DFT, PBE
State: relaxed Values from VASP.

Calculated values
Calculated formation energy, meV/atom: 193
Symmetry: P2/m
N(E_F), states/eV per atom: 0.92
Total DFT energy (no corrections), eV/cell: -11.22
Magnetization, μB per cell: 0.00
Energy above the lowest structure with this stoichiometry, meV/atom: 36

Quantum ESPRESSO input file:
```
&SYSTEM
  ibrav = 0, nat = 4, ntyp = 3
/
ATOMIC_SPECIES
Ba 137.33 Ba.upf
Y 88.91 Y.upf
Sr 87.62 Sr.upf
ATOMIC_POSITIONS crystal
Ba 0.000 0.989 0.988
Y 0.500 0.750 0.750
Ba 0.000 0.511 0.512
Sr 0.500 0.250 0.250
CELL_PARAMETERS angstrom
6.483 0.000 0.000
0.000 3.975 0.002
0.000 1.503 7.645
```

---

2.
Material: BaSr3Y
Method: DFT, PBE
State: relaxed Values from VASP.

Calculated values
Calculated formation energy, meV/atom: 508
Symmetry: Pm-3m
N(E_F), states/eV per atom: 3.08
Total DFT energy (no corrections), eV/cell: -10.89
Magnetization, μB per cell: 2.57
Energy above the lowest structure with this stoichiometry, meV/atom: 0

Quantum ESPRESSO input file:
```
&SYSTEM
  ibrav = 0, nat = 5, ntyp = 3
/
ATOMIC_SPECIES
Sr 87.62 Sr.upf
Ba 137.33 Ba.upf
Y 88.91 Y.upf
ATOMIC_POSITIONS crystal
Sr 0.000 0.500 0.000
Ba 0.500 0.500 0.500
Sr 0.000 0.000 0.500
Sr 0.500 0.000 0.000
Y 0.000 0.000 0.000
CELL_PARAMETERS angstrom
-4.528 2.980 -3.872
-2.506 -5.949 -1.648
-4.195 0.336 5.165
```

---

3.
Material: Ba2SrY
Method: DFT, PBE
State: relaxed Values from VASP.

Calculated values
Calculated formation energy, meV/atom: 226
Symmetry: Cmmm
N(E_F), states/eV per atom: 2.17
Total DFT energy (no corrections), eV/cell: -11.09
Magnetization, μB per cell: 0.05
Energy above the lowest structure with this stoichiometry, meV/atom: 69

Quantum ESPRESSO input file:
```
&SYSTEM
  ibrav = 0, nat = 4, ntyp = 3
/
ATOMIC_SPECIES
Y 88.91 Y.upf
Sr 87.62 Sr.upf
Ba 137.33 Ba.upf
ATOMIC_POSITIONS crystal
Y 0.000 0.500 0.500
Sr 0.500 0.000 0.500
Ba 0.500 0.500 0.000
Ba 0.000 0.000 0.000
CELL_PARAMETERS angstrom
-3.622 6.156 -0.627
-0.139 -2.125 6.846
3.463 2.111 0.726
```

---

4.
Material: BaSrY
Method: DFT, PBE
State: relaxed Values from VASP.

Calculated values
Calculated formation energy, meV/atom: 317
Symmetry: C2/m
N(E_F), states/eV per atom: 1.36
Total DFT energy (no corrections), eV/cell: -18.24
Magnetization, μB per cell: 1.28
Energy above the lowest structure with this stoichiometry, meV/atom: 113

Quantum ESPRESSO input file:
```
&SYSTEM
  ibrav = 0, nat = 6, ntyp = 3
/
ATOMIC_SPECIES
Sr 87.62 Sr.upf
Y 88.91 Y.upf
Ba 137.33 Ba.upf
ATOMIC_POSITIONS crystal
Sr 0.600 0.600 0.462
Y 0.737 0.737 0.144
Ba 0.332 0.332 0.479
Y 0.016 0.016 0.163
Sr 0.153 0.153 0.845
Ba 0.421 0.421 0.828
CELL_PARAMETERS angstrom
7.386 2.090 1.356
5.501 5.354 1.356
9.524 5.502 12.244
```

---

5.
Material: BaSrY
Method: DFT, PBE
State: relaxed Values from VASP.

Calculated values
Calculated formation energy, meV/atom: 231
Symmetry: P3m1
N(E_F), states/eV per atom: 1.10
Total DFT energy (no corrections), eV/cell: -9.37
Magnetization, μB per cell: 0.00
Energy above the lowest structure with this stoichiometry, meV/atom: 27

Quantum ESPRESSO input file:
```
&SYSTEM
  ibrav = 0, nat = 3, ntyp = 3
/
ATOMIC_SPECIES
Y 88.91 Y.upf
Sr 87.62 Sr.upf
Ba 137.33 Ba.upf
ATOMIC_POSITIONS crystal
Y 0.333 0.667 0.680
Sr 0.667 0.333 0.325
Ba 0.000 0.000 0.995
CELL_PARAMETERS angstrom
6.418 0.000 0.000
-3.209 5.558 0.000
0.000 0.000 3.850
```

---

6.
Material: Ba2SrY
Method: DFT, PBE
State: relaxed Values from VASP.

Calculated values
Calculated formation energy, meV/atom: 174
Symmetry: R-3m
N(E_F), states/eV per atom: 1.37
Total DFT energy (no corrections), eV/cell: -11.30
Magnetization, μB per cell: 0.93
Energy above the lowest structure with this stoichiometry, meV/atom: 17

Quantum ESPRESSO input file:
```
&SYSTEM
  ibrav = 0, nat = 4, ntyp = 3
/
ATOMIC_SPECIES
Sr 87.62 Sr.upf
Ba 137.33 Ba.upf
Y 88.91 Y.upf
ATOMIC_POSITIONS crystal
Sr 0.250 0.250 0.250
Ba 0.007 0.007 0.007
Ba 0.493 0.493 0.493
Y 0.750 0.750 0.750
CELL_PARAMETERS angstrom
-8.095 -9.796 -5.335
-4.617 -10.727 -7.320
-5.295 -12.220 -3.550
```

---

7.
Material: Ba2SrY
Method: DFT, PBE
State: relaxed Values from VASP.

Calculated values
Calculated formation energy, meV/atom: 181
Symmetry: R3m
N(E_F), states/eV per atom: 1.58
Total DFT energy (no corrections), eV/cell: -11.27
Magnetization, μB per cell: 0.97
Energy above the lowest structure with this stoichiometry, meV/atom: 25

Quantum ESPRESSO input file:
```
&SYSTEM
  ibrav = 0, nat = 4, ntyp = 3
/
ATOMIC_SPECIES
Sr 87.62 Sr.upf
Ba 137.33 Ba.upf
Y 88.91 Y.upf
ATOMIC_POSITIONS crystal
Sr 0.492 0.492 0.492
Ba 0.008 0.008 0.008
Y 0.751 0.751 0.751
Ba 0.249 0.249 0.249
CELL_PARAMETERS angstrom
-9.222 -0.504 -10.219
-6.215 -2.717 -11.988
-8.917 -4.553 -9.459
```

---

8.
Material: BaSrY
Method: DFT, PBE
State: relaxed Values from VASP.

Calculated values
Calculated formation energy, meV/atom: 205
Symmetry: I4mm
N(E_F), states/eV per atom: 1.62
Total DFT energy (no corrections), eV/cell: -9.45
Magnetization, μB per cell: 0.90
Energy above the lowest structure with this stoichiometry, meV/atom: 1

Quantum ESPRESSO input file:
```
&SYSTEM
  ibrav = 0, nat = 3, ntyp = 3
/
ATOMIC_SPECIES
Sr 87.62 Sr.upf
Ba 137.33 Ba.upf
Y 88.91 Y.upf
ATOMIC_POSITIONS crystal
Sr 0.320 0.320 0.000
Ba 0.012 0.012 0.000
Y 0.668 0.668 0.000
CELL_PARAMETERS angstrom
-8.562 -1.567 2.909
-6.458 -6.460 0.895
8.507 3.376 0.688
```

---

9.
Material: BaSrY
Method: DFT, PBE
State: relaxed Values from VASP.

Calculated values
Calculated formation energy, meV/atom: 246
Symmetry: Imm2
N(E_F), states/eV per atom: 1.89
Total DFT energy (no corrections), eV/cell: -9.33
Magnetization, μB per cell: 0.57
Energy above the lowest structure with this stoichiometry, meV/atom: 42

Quantum ESPRESSO input file:
```
&SYSTEM
  ibrav = 0, nat = 3, ntyp = 3
/
ATOMIC_SPECIES
Sr 87.62 Sr.upf
Y 88.91 Y.upf
Ba 137.33 Ba.upf
ATOMIC_POSITIONS crystal
Sr 0.326 0.326 0.000
Y 0.669 0.669 0.000
Ba 0.005 0.005 0.000
CELL_PARAMETERS angstrom
-0.873 5.960 -3.633
0.952 0.119 -6.969
-3.509 -2.749 5.443
```

---

10.
Material: Ba2SrY
Method: DFT, PBE
State: relaxed Values from VASP.

Calculated values
Calculated formation energy, meV/atom: 157
Symmetry: P4mm
N(E_F), states/eV per atom: 1.16
Total DFT energy (no corrections), eV/cell: -11.36
Magnetization, μB per cell: 0.00
Energy above the lowest structure with this stoichiometry, meV/atom: 0

Quantum ESPRESSO input file:
```
&SYSTEM
  ibrav = 0, nat = 4, ntyp = 3
/
ATOMIC_SPECIES
Y 88.91 Y.upf
Sr 87.62 Sr.upf
Ba 137.33 Ba.upf
ATOMIC_POSITIONS crystal
Y 0.500 0.500 0.739
Sr 0.000 0.000 0.539
Ba 0.000 0.000 0.961
Ba 0.500 0.500 0.262
CELL_PARAMETERS angstrom
4.404 0.000 0.000
0.000 4.404 0.000
0.000 0.000 10.492
```

---

11.
Material: Ba2SrY
Method: DFT, PBE
State: relaxed Values from VASP.

Calculated values
Calculated formation energy, meV/atom: 422
Symmetry: I-42d
N(E_F), states/eV per atom: 1.55
Total DFT energy (no corrections), eV/cell: -20.61
Magnetization, μB per cell: 0.00
Energy above the lowest structure with this stoichiometry, meV/atom: 265

Quantum ESPRESSO input file:
```
&SYSTEM
  ibrav = 0, nat = 8, ntyp = 3
/
ATOMIC_SPECIES
Ba 137.33 Ba.upf
Sr 87.62 Sr.upf
Y 88.91 Y.upf
ATOMIC_POSITIONS crystal
Ba 0.113 0.625 0.250
Sr 0.250 0.750 0.500
Ba 0.637 0.125 0.250
Ba 0.375 0.363 0.750
Y 0.000 0.000 0.000
Ba 0.875 0.887 0.750
Sr 0.500 0.500 0.000
Y 0.750 0.250 0.500
CELL_PARAMETERS angstrom
-7.057 6.279 -3.687
-1.387 -6.199 -7.904
-6.919 -1.845 -3.843
```

---

12.
Material: BaSrY
Method: DFT, PBE
State: relaxed Values from VASP.

Calculated values
Calculated formation energy, meV/atom: 690
Symmetry: F-43m
N(E_F), states/eV per atom: 2.37
Total DFT energy (no corrections), eV/cell: -8.00
Magnetization, μB per cell: 0.02
Energy above the lowest structure with this stoichiometry, meV/atom: 486

Quantum ESPRESSO input file:
```
&SYSTEM
  ibrav = 0, nat = 3, ntyp = 3
/
ATOMIC_SPECIES
Ba 137.33 Ba.upf
Sr 87.62 Sr.upf
Y 88.91 Y.upf
ATOMIC_POSITIONS crystal
Ba 0.000 0.000 0.000
Sr 0.500 0.500 0.500
Y 0.750 0.750 0.750
CELL_PARAMETERS angstrom
6.259 0.000 0.000
3.129 5.420 0.000
3.129 1.807 5.110
```

---

13.
Material: BaSr2Y2
Method: DFT, PBE
State: relaxed Values from VASP.

Calculated values
Calculated formation energy, meV/atom: 485
Symmetry: I4/mmm
N(E_F), states/eV per atom: 1.44
Total DFT energy (no corrections), eV/cell: -15.79
Magnetization, μB per cell: 1.80
Energy above the lowest structure with this stoichiometry, meV/atom: 229

Quantum ESPRESSO input file:
```
&SYSTEM
  ibrav = 0, nat = 5, ntyp = 3
/
ATOMIC_SPECIES
Sr 87.62 Sr.upf
Ba 137.33 Ba.upf
Y 88.91 Y.upf
ATOMIC_POSITIONS crystal
Sr 0.750 0.250 0.500
Ba 0.000 0.000 0.000
Sr 0.250 0.750 0.500
Y 0.589 0.589 0.000
Y 0.411 0.411 0.000
CELL_PARAMETERS angstrom
4.880 -7.032 4.283
5.952 -0.393 7.485
-8.306 3.087 -3.619
```

---

14.
Material: Ba2SrY
Method: DFT, PBE
State: relaxed Values from VASP.

Calculated values
Calculated formation energy, meV/atom: 198
Symmetry: I-4m2
N(E_F), states/eV per atom: 1.27
Total DFT energy (no corrections), eV/cell: -11.20
Magnetization, μB per cell: 0.00
Energy above the lowest structure with this stoichiometry, meV/atom: 41

Quantum ESPRESSO input file:
```
&SYSTEM
  ibrav = 0, nat = 4, ntyp = 3
/
ATOMIC_SPECIES
Sr 87.62 Sr.upf
Ba 137.33 Ba.upf
Y 88.91 Y.upf
ATOMIC_POSITIONS crystal
Sr 0.500 0.500 0.000
Ba 0.250 0.750 0.500
Y 0.750 0.250 0.500
Ba 0.000 0.000 0.000
CELL_PARAMETERS angstrom
6.469 -1.055 0.000
1.138 6.455 0.000
-3.803 -2.700 4.605
```